[1]
Crystalline Cd2InW at its relaxed geometry. Source: the Alexandria database, functional PBEsol.

a b c (Å): 2.9370 4.4429 5.8554
angles (deg): 90.00 90.00 90.00
Last column: nearest neighbours and their distance in Å.
Sites, in units of the cell vectors:
Cd1 0.0000 0.0000 0.2324  3 Cd 2.72-2.94, 4 W 2.99
Cd2 0.0000 0.0000 0.7676  3 Cd 2.72-2.94, 4 W 2.99
In1 0.5000 0.5000 0.5000  2 W 2.93, 2 In 2.94, 8 Cd 3.09
W1 0.5000 0.5000 0.0000  2 In 2.93, 2 W 2.94, 8 Cd 2.99

Output
Total magnetic moment (μB per formula unit): 0.00
Energy (eV/atom): -4.208
Formation enthalpy at 0 K (meV per atom): 588
Calculated density (g/cm³): 11.38

=====

[2]
Crystalline Ge5Te8As2 at its relaxed geometry. Source: the Alexandria database, functional PBEsol.

a b c (Å): 4.1335 4.1335 26.5035
angles (deg): 90.00 90.00 120.00
Last column: nearest neighbours and their distance in Å.
Sites, in units of the cell vectors:
Ge1 0.0000 0.0000 0.0000  6 Te 2.94
Ge2 0.3333 0.6667 0.1301  6 Te 2.93-2.95
Ge3 0.3333 0.6667 0.7394  6 Te 2.92-2.96
Ge4 0.6667 0.3333 0.2606  6 Te 2.92-2.96
Ge5 0.6667 0.3333 0.8699  6 Te 2.93-2.95
Te1 0.0000 0.0000 0.1944  6 Ge 2.93-2.96
Te2 0.0000 0.0000 0.8056  6 Ge 2.93-2.96
Te3 0.3333 0.6667 0.3239  3 Ge 2.92, 3 As 3.00
Te4 0.3333 0.6667 0.5501  3 As 2.83
Te5 0.3333 0.6667 0.9352  6 Ge 2.94-2.95
Te6 0.6667 0.3333 0.0648  6 Ge 2.94-2.95
Te7 0.6667 0.3333 0.4499  3 As 2.83
Te8 0.6667 0.3333 0.6761  3 Ge 2.92, 3 As 3.00
As1 0.0000 0.0000 0.3923  6 Te 2.83-3.00
As2 0.0000 0.0000 0.6077  6 Te 2.83-3.00

Output
Formation energy (no corrections) (eV per atom): -0.06
Relative energy among the computed polymorphs (meV/atom): 0
Total magnetic moment (μB per formula unit): 0.00
Energy (eV/atom): -4.272
Calculated density (g/cm³): 6.49

=====

[3]
Crystalline CaCuGe2O6 at its relaxed geometry. Source: the Alexandria database, functional PBEsol.

a b c (Å): 10.0955 9.2254 5.1829
angles (deg): 90.00 104.71 90.00
Last column: nearest neighbours and their distance in Å.
Sites, in units of the cell vectors:
Ca1 0.2118 0.0444 0.0264  6 O 2.33-2.51
Ca2 0.2118 0.4556 0.5264  6 O 2.33-2.51
Ca3 0.7882 0.5444 0.4736  6 O 2.33-2.51
Ca4 0.7882 0.9556 0.9736  6 O 2.33-2.51
Cu1 0.2740 0.6604 0.0234  4 O 1.92-2.06
Cu2 0.2740 0.8396 0.5234  4 O 1.92-2.06
Cu3 0.7260 0.1604 0.4766  4 O 1.92-2.06
Cu4 0.7260 0.3396 0.9766  4 O 1.92-2.06
Ge1 0.0076 0.1492 0.4218  4 O 1.79-1.90
Ge2 0.0076 0.3508 0.9218  4 O 1.79-1.90
Ge3 0.4481 0.1498 0.6476  4 O 1.72-1.80
Ge4 0.4481 0.3502 0.1476  4 O 1.72-1.80
Ge5 0.5519 0.6498 0.8524  4 O 1.72-1.80
Ge6 0.5519 0.8502 0.3524  4 O 1.72-1.80
Ge7 0.9924 0.6492 0.0782  4 O 1.79-1.90
Ge8 0.9924 0.8508 0.5782  4 O 1.79-1.90
O1 0.0573 0.5245 0.8167  2 Ge 1.80-2.01
O2 0.0573 0.9755 0.3167  2 Ge 1.80-2.01
O3 0.1025 0.2458 0.1988  2 Ge 1.79-1.90
O4 0.1025 0.2542 0.6988  2 Ge 1.79-1.90
O5 0.1628 0.6829 0.2757  1 Ge 1.79, 1 Cu 1.94
O6 0.1628 0.8171 0.7757  1 Ge 1.79, 1 Cu 1.94
O7 0.3436 0.0160 0.7193  1 Ge 1.72
O8 0.3436 0.4840 0.2193  1 Ge 1.72
O9 0.3738 0.6325 0.7579  1 Ge 1.75, 1 Cu 1.92
O10 0.3738 0.8675 0.2579  1 Ge 1.75, 1 Cu 1.92
O11 0.3978 0.1895 0.2965  2 Ge 1.80
O12 0.3978 0.3105 0.7965  2 Ge 1.80
O13 0.6022 0.6895 0.2035  2 Ge 1.80
O14 0.6022 0.8105 0.7035  2 Ge 1.80
O15 0.6262 0.1325 0.7421  1 Ge 1.75, 1 Cu 1.92
O16 0.6262 0.3675 0.2421  1 Ge 1.75, 1 Cu 1.92
O17 0.6564 0.5160 0.7807  1 Ge 1.72
O18 0.6564 0.9840 0.2807  1 Ge 1.72
O19 0.8372 0.1829 0.2243  1 Ge 1.79, 1 Cu 1.94
O20 0.8372 0.3171 0.7243  1 Ge 1.79, 1 Cu 1.94
O21 0.8975 0.7458 0.3012  2 Ge 1.79-1.90
O22 0.8975 0.7542 0.8012  2 Ge 1.79-1.90
O23 0.9427 0.0245 0.6833  2 Ge 1.80-2.01
O24 0.9427 0.4755 0.1833  2 Ge 1.80-2.01

Output
Formation energy (no corrections) (eV per atom): -1.77
Relative energy among the computed polymorphs (meV/atom): 0
Total magnetic moment (μB per formula unit): 0.99
Energy (eV/atom): -6.554
Calculated density (g/cm³): 4.91

=====

[4]
Crystalline TlTePI2 at its relaxed geometry. Source: the Alexandria database, functional PBEsol.

a b c (Å): 5.8388 5.8388 5.8803
angles (deg): 90.00 90.00 90.00
Last column: nearest neighbours and their distance in Å.
Sites, in units of the cell vectors:
Tl1 0.0000 0.0000 0.0000  4 I 2.92, 2 Te 2.94
Te1 0.0000 0.0000 0.5000  2 Tl 2.94
P1 0.5000 0.5000 0.5000  4 Te 4.13, 8 I 4.14
I1 0.0000 0.5000 0.0000  2 Tl 2.92
I2 0.5000 0.0000 0.0000  2 Tl 2.92

Output
Formation energy (no corrections) (eV per atom): 0.88
Relative energy among the computed polymorphs (meV/atom): 858
Total magnetic moment (μB per formula unit): 1.52
Energy (eV/atom): -2.220
Calculated density (g/cm³): 5.11

=====

Repeat the second record exactly.
Crystalline Ge5Te8As2 at its relaxed geometry. Source: the Alexandria database, functional PBEsol.

a b c (Å): 4.1335 4.1335 26.5035
angles (deg): 90.00 90.00 120.00
Last column: nearest neighbours and their distance in Å.
Sites, in units of the cell vectors:
Ge1 0.0000 0.0000 0.0000  6 Te 2.94
Ge2 0.3333 0.6667 0.1301  6 Te 2.93-2.95
Ge3 0.3333 0.6667 0.7394  6 Te 2.92-2.96
Ge4 0.6667 0.3333 0.2606  6 Te 2.92-2.96
Ge5 0.6667 0.3333 0.8699  6 Te 2.93-2.95
Te1 0.0000 0.0000 0.1944  6 Ge 2.93-2.96
Te2 0.0000 0.0000 0.8056  6 Ge 2.93-2.96
Te3 0.3333 0.6667 0.3239  3 Ge 2.92, 3 As 3.00
Te4 0.3333 0.6667 0.5501  3 As 2.83
Te5 0.3333 0.6667 0.9352  6 Ge 2.94-2.95
Te6 0.6667 0.3333 0.0648  6 Ge 2.94-2.95
Te7 0.6667 0.3333 0.4499  3 As 2.83
Te8 0.6667 0.3333 0.6761  3 Ge 2.92, 3 As 3.00
As1 0.0000 0.0000 0.3923  6 Te 2.83-3.00
As2 0.0000 0.0000 0.6077  6 Te 2.83-3.00

Output
Formation energy (no corrections) (eV per atom): -0.06
Relative energy among the computed polymorphs (meV/atom): 0
Total magnetic moment (μB per formula unit): 0.00
Energy (eV/atom): -4.272
Calculated density (g/cm³): 6.49